Entry from the Alexandria database: crystalline TlHg3S at its relaxed geometry (GGA-PBE).

Computed properties:
Electronic total energy   -0.968 eV per atom
Formation energy without anion corrections   2.6 eV/f.u.
Symmetry   Pm-3m, No. 221
E above lowest polymorph   264.3 meV/atom
Spin magnetization   1.00 μB per formula unit
Fermi-level density of states   6.94 states/eV/f.u.
Theoretical density   7114 kg/m3

a = 5.805 Å, b = 5.805 Å, c = 5.805 Å
α = 90.00°, β = 90.00°, γ = 90.00°
Site moments in Bohr magnetons follow the coordinates.
Atoms (fractional coordinates):
S1 0.500 0.500 0.500  0.61
Tl1 0.000 0.000 0.000  -0.01
Hg1 0.000 0.500 0.000  0.01
Hg2 0.000 0.000 0.500  0.01
Hg3 0.500 0.000 0.000  0.00